(1)
PBE-GGA Cu4Ag, optimized geometry; polymorph energy (0 for the lowest one) = 24.4 meV/atom; ΔE_f = 0.07 eV per atom
1.0
6.468 0.000 0.000
0.000 2.700 0.000
-1.748 0.000 7.470
Cu Ag
8 2
direct
0.000 0.000 0.000
0.095 0.500 0.301
0.198 0.000 0.581
0.384 0.000 0.217
0.500 0.500 0.500
0.616 0.000 0.783
0.802 0.000 0.419
0.905 0.500 0.699
0.301 0.500 0.891
0.699 0.500 0.109



(2)
PBE-GGA NiSnSe4, optimized geometry; raw total energy = -4.17 eV per atom
1.0
3.769 0.000 0.000
1.659 5.732 0.000
0.023 1.022 6.362
Ni Sn Se
1 1 4
direct
0.000 0.000 0.000
0.500 0.000 0.500
0.116 0.736 0.339
0.398 0.233 0.100
0.602 0.767 0.900
0.884 0.264 0.661



(3)
PBE-GGA NdSmAsO, optimized geometry; polymorph energy (0 for the lowest one) = 18.6 meV/atom
1.0
4.266 0.000 0.000
0.000 8.012 0.000
0.000 0.000 5.937
Nd Sm As O
2 2 2 2
direct
0.000 0.117 0.000
0.000 0.883 0.500
0.500 0.294 0.443
0.500 0.706 0.943
0.500 0.347 0.939
0.500 0.653 0.439
0.000 0.175 0.391
0.000 0.825 0.891



(4)
PBE-GGA Nd2CdAgAs2O2, optimized geometry; raw total energy = -5.72 eV per atom
1.0
4.111 0.000 0.000
0.000 4.111 0.000
0.000 0.000 9.305
Nd Cd Ag As O
2 1 1 2 2
direct
0.000 0.500 0.124
0.500 0.000 0.876
0.500 0.500 0.500
0.000 0.000 0.500
0.000 0.500 0.696
0.500 0.000 0.304
0.000 0.000 0.000
0.500 0.500 0.000



(5)
PBE-GGA Nb4AlGaN2, optimized geometry; raw total energy = -8.66 eV per atom
1.0
3.010 0.000 0.000
-1.505 2.607 0.000
0.000 0.000 14.369
Nb Al Ga N
4 1 1 2
direct
0.000 0.000 0.155
0.000 0.000 0.845
0.667 0.333 0.344
0.667 0.333 0.656
0.000 0.000 0.500
0.667 0.333 0.000
0.333 0.667 0.250
0.333 0.667 0.750



(6)
PBE-GGA Er2BiI4, optimized geometry; raw total energy = -3.33 eV per atom
1.0
3.877 0.000 0.000
-1.939 3.358 0.000
0.000 0.000 19.105
Er Bi I
2 1 4
direct
0.000 0.000 0.000
0.333 0.667 0.275
0.667 0.333 0.572
0.000 0.000 0.164
0.000 0.000 0.697
0.667 0.333 0.385
0.667 0.333 0.888



(7)
PBE-GGA PmZn2, optimized geometry; polymorph energy (0 for the lowest one) = 145.5 meV/atom; ΔE_f = -0.23 eV per atom
1.0
8.356 0.000 0.000
0.000 4.671 0.000
-3.833 0.000 12.819
Pm Zn
8 16
direct
0.039 0.250 0.277
0.253 0.250 0.066
0.315 0.750 0.618
0.401 0.750 0.281
0.599 0.250 0.719
0.685 0.250 0.382
0.747 0.750 0.934
0.961 0.750 0.723
0.046 0.750 0.135
0.096 0.250 0.519
0.116 0.750 0.946
0.144 0.750 0.399
0.225 0.250 0.769
0.358 0.750 0.851
0.385 0.250 0.467
0.480 0.750 0.059
0.520 0.250 0.941
0.615 0.750 0.533
0.642 0.250 0.149
0.775 0.750 0.231
0.856 0.250 0.601
0.884 0.250 0.054
0.904 0.750 0.481
0.954 0.250 0.865



(8)
PBE-GGA Gd2Er2SiI5, optimized geometry; polymorph energy (0 for the lowest one) = 4.4 meV/atom
1.0
9.530 -2.090 0.000
9.530 2.090 0.000
-1.934 0.000 8.528
Gd Er Si I
2 2 1 5
direct
0.147 0.147 0.074
0.853 0.853 0.926
0.500 0.500 0.208
0.500 0.500 0.792
0.000 0.000 0.000
0.000 0.000 0.500
0.331 0.331 0.178
0.335 0.335 0.658
0.665 0.665 0.342
0.669 0.669 0.822



(9)
PBE-GGA Hf2AlIr3, optimized geometry; raw total energy = -9.28 eV per atom
1.0
5.404 0.000 0.000
-2.702 4.680 0.000
0.000 0.000 7.864
Hf Al Ir
4 2 6
direct
0.333 0.667 0.057
0.333 0.667 0.443
0.667 0.333 0.557
0.667 0.333 0.943
0.000 0.000 0.000
0.000 0.000 0.500
0.170 0.339 0.750
0.170 0.830 0.750
0.339 0.170 0.250
0.661 0.830 0.750
0.830 0.170 0.250
0.830 0.661 0.250



(10)
PBE-GGA Y3Mg3GaIr2, optimized geometry; raw total energy = -5.54 eV per atom
1.0
7.326 0.000 0.000
-3.663 6.344 0.000
0.000 0.000 4.129
Y Mg Ga Ir
3 3 1 2
direct
0.000 0.583 0.000
0.417 0.417 0.000
0.583 0.000 0.000
0.000 0.251 0.500
0.251 0.000 0.500
0.749 0.749 0.500
0.000 0.000 0.000
0.333 0.667 0.500
0.667 0.333 0.500



(11)
PBE-GGA Pm3Sm2Sn3, optimized geometry; raw total energy = -5.17 eV per atom
1.0
9.205 0.000 0.000
-4.602 7.971 0.000
0.000 0.000 6.756
Pm Sm Sn
6 4 6
direct
0.000 0.241 0.250
0.000 0.759 0.750
0.241 0.000 0.250
0.241 0.241 0.750
0.759 0.000 0.750
0.759 0.759 0.250
0.333 0.667 0.000
0.333 0.667 0.500
0.667 0.333 0.000
0.667 0.333 0.500
0.000 0.395 0.750
0.000 0.605 0.250
0.395 0.000 0.750
0.395 0.395 0.250
0.605 0.000 0.250
0.605 0.605 0.750



(12)
PBE-GGA DyBrCl2, optimized geometry; raw total energy = -4.64 eV per atom
1.0
6.943 0.000 0.000
0.000 12.295 0.000
-2.162 0.000 6.398
Dy Br Cl
4 4 8
direct
0.000 0.168 0.000
0.000 0.832 0.000
0.500 0.332 0.000
0.500 0.668 0.000
0.222 0.000 0.254
0.278 0.500 0.746
0.722 0.500 0.254
0.778 0.000 0.746
0.246 0.184 0.771
0.246 0.816 0.771
0.254 0.316 0.229
0.254 0.684 0.229
0.746 0.316 0.771
0.746 0.684 0.771
0.754 0.184 0.229
0.754 0.816 0.229



(13)
PBE-GGA ZrBeCoSi, optimized geometry; polymorph energy (0 for the lowest one) = 126.4 meV/atom
1.0
5.971 0.000 0.000
0.000 5.971 0.000
0.000 0.000 5.971
Zr Be Co Si
4 4 4 4
direct
0.000 0.000 0.000
0.000 0.500 0.500
0.500 0.000 0.500
0.500 0.500 0.000
0.250 0.250 0.750
0.250 0.750 0.250
0.750 0.250 0.250
0.750 0.750 0.750
0.000 0.000 0.500
0.000 0.500 0.000
0.500 0.000 0.000
0.500 0.500 0.500
0.250 0.250 0.250
0.250 0.750 0.750
0.750 0.250 0.750
0.750 0.750 0.250



(14)
PBE-GGA LuMoOs, optimized geometry; ΔE_f = 1.46 eV per atom
1.0
6.305 0.000 0.000
0.000 6.305 0.000
0.000 0.000 6.305
Lu Mo Os
4 4 4
direct
0.000 0.000 0.000
0.000 0.500 0.500
0.500 0.000 0.500
0.500 0.500 0.000
0.250 0.250 0.750
0.250 0.750 0.250
0.750 0.250 0.250
0.750 0.750 0.750
0.250 0.250 0.250
0.250 0.750 0.750
0.750 0.250 0.750
0.750 0.750 0.250



(15)
PBE-GGA PmScTa, optimized geometry; polymorph energy (0 for the lowest one) = 187.6 meV/atom; ΔE_f = 1.36 eV per atom
1.0
6.896 0.000 0.000
0.000 6.896 0.000
0.000 0.000 6.896
Pm Sc Ta
4 4 4
direct
0.000 0.000 0.000
0.000 0.500 0.500
0.500 0.000 0.500
0.500 0.500 0.000
0.250 0.250 0.750
0.250 0.750 0.250
0.750 0.250 0.250
0.750 0.750 0.750
0.250 0.250 0.250
0.250 0.750 0.750
0.750 0.250 0.750
0.750 0.750 0.250